1.
{
  "formula": "RbCo3Sn",
  "functional": "meta-GGA SCAN",
  "state": "single point on PBEsol structure",
  "space_group": "Pm-3m",
  "volume_a3_per_cell": 116.74,
  "delta_e_f_ev_per_atom": 1.043,
  "m_tot_mub_per_atom": 1.191,
  "lattice": [[4.887, 0.000, 0.000], [0.000, 4.887, 0.000], [0.000, 0.000, 4.887]],
  "species": ["Rb", "Co", "Co", "Co", "Sn"],
  "fractional_positions": [[0.000, 0.000, 0.000], [0.000, 0.500, 0.500], [0.500, 0.000, 0.500], [0.500, 0.500, 0.000], [0.500, 0.500, 0.500]]
}

=====

2.
{
  "formula": "Sc2MnP",
  "functional": "meta-GGA SCAN",
  "state": "single point on PBEsol structure",
  "space_group": "R3m",
  "volume_a3_per_cell": 64.54,
  "delta_e_f_ev_per_atom": -0.556,
  "m_tot_mub_per_atom": 0.000,
  "lattice": [[1.989, 1.149, 4.708], [-1.989, 1.149, 4.708], [0.000, -2.297, 4.708]],
  "species": ["Sc", "Sc", "Mn", "P"],
  "fractional_positions": [[0.000, 0.000, 0.000], [0.198, 0.198, 0.198], [0.760, 0.760, 0.760], [0.427, 0.427, 0.427]]
}

=====

3.
{
  "formula": "CaRe4Se",
  "functional": "meta-GGA SCAN",
  "state": "single point on PBEsol structure",
  "space_group": "F-43m",
  "volume_a3_per_cell": 103.98,
  "raw_formation_energy_ev_per_atom": 0.62,
  "m_tot_mub_per_atom": 0.000,
  "lattice": [[0.000, 3.732, 3.732], [3.732, 0.000, 3.732], [3.732, 3.732, 0.000]],
  "species": ["Ca", "Re", "Re", "Re", "Re", "Se"],
  "fractional_positions": [[0.000, 0.000, 0.000], [0.376, 0.376, 0.376], [0.376, 0.376, 0.872], [0.376, 0.872, 0.376], [0.872, 0.376, 0.376], [0.750, 0.750, 0.750]]
}

=====

4.
{
  "formula": "SrCr3Tc",
  "functional": "meta-GGA SCAN",
  "state": "single point on PBEsol structure",
  "space_group": "Pm-3m",
  "volume_a3_per_cell": 91.52,
  "delta_e_f_ev_per_atom": 2.691,
  "m_tot_mub_per_atom": 1.435,
  "lattice": [[4.507, 0.000, 0.000], [0.000, 4.507, 0.000], [0.000, 0.000, 4.507]],
  "species": ["Sr", "Cr", "Cr", "Cr", "Tc"],
  "fractional_positions": [[0.000, 0.000, 0.000], [0.000, 0.000, 0.500], [0.000, 0.500, 0.000], [0.500, 0.000, 0.000], [0.500, 0.500, 0.500]]
}

=====

5.
{
  "formula": "Tm2CuRh",
  "functional": "meta-GGA SCAN",
  "state": "single point on PBEsol structure",
  "space_group": "Fm-3m",
  "volume_a3_per_cell": 74.85,
  "delta_e_f_ev_per_atom": -0.726,
  "m_tot_mub_per_atom": 0.000,
  "lattice": [[0.000, 3.345, 3.345], [3.345, 0.000, 3.345], [3.345, 3.345, 0.000]],
  "species": ["Tm", "Tm", "Cu", "Rh"],
  "fractional_positions": [[0.250, 0.250, 0.250], [0.750, 0.750, 0.750], [0.000, 0.000, 0.000], [0.500, 0.500, 0.500]]
}

=====

6.
{
  "formula": "ZnTc2Sb",
  "functional": "meta-GGA SCAN",
  "state": "single point on PBEsol structure",
  "space_group": "C2/m",
  "volume_a3_per_cell": 63.22,
  "e_above_lowest_polymorph_mev_per_atom": 191,
  "raw_formation_energy_ev_per_atom": 0.43,
  "m_tot_mub_per_atom": 0.000,
  "lattice": [[2.782, -4.261, 0.000], [2.782, 4.261, 0.000], [-1.277, 0.000, 2.666]],
  "species": ["Zn", "Tc", "Tc", "Sb"],
  "fractional_positions": [[0.000, 0.000, 0.000], [0.000, 0.500, 0.500], [0.500, 0.000, 0.500], [0.500, 0.500, 0.000]]
}

=====

Please write out number 5 again, unchanged.
{
  "formula": "Tm2CuRh",
  "functional": "meta-GGA SCAN",
  "state": "single point on PBEsol structure",
  "space_group": "Fm-3m",
  "volume_a3_per_cell": 74.85,
  "delta_e_f_ev_per_atom": -0.726,
  "m_tot_mub_per_atom": 0.000,
  "lattice": [[0.000, 3.345, 3.345], [3.345, 0.000, 3.345], [3.345, 3.345, 0.000]],
  "species": ["Tm", "Tm", "Cu", "Rh"],
  "fractional_positions": [[0.250, 0.250, 0.250], [0.750, 0.750, 0.750], [0.000, 0.000, 0.000], [0.500, 0.500, 0.500]]
}